one:
CdAgTe3: optimized geometry, GGA-PBE.

```
CdAgTe3
1.0
5.462 0.000 0.000
0.000 5.462 0.000
0.000 0.000 5.462
Cd Ag Te
1 1 3
direct
0.000 0.000 0.000
0.500 0.500 0.500
0.000 0.500 0.500
0.500 0.000 0.500
0.500 0.500 0.000
```

---

two:
CdAgTe3: optimized geometry, GGA-PBE.

```
CdAgTe3
1.0
5.617 0.000 0.000
0.000 5.617 0.000
0.000 0.000 5.617
Cd Ag Te
1 1 3
direct
0.000 0.000 0.000
0.500 0.500 0.500
0.000 0.000 0.500
0.000 0.500 0.000
0.500 0.000 0.000
```

---

If we sort the structures by their calculated energies, the order from most to least stable is one, two.

---

one:
ThCd6Ag2: optimized geometry, GGA-PBE.

```
ThCd6Ag2
1.0
5.036 -4.789 0.000
5.036 4.789 0.000
-2.110 0.000 4.319
Th Cd Ag
1 6 2
direct
0.000 0.000 0.000
0.155 0.481 0.823
0.233 0.767 0.500
0.481 0.155 0.823
0.519 0.845 0.177
0.767 0.233 0.500
0.845 0.519 0.177
0.338 0.338 0.342
0.662 0.662 0.658
```

---

two:
ThCd6Ag2: optimized geometry, GGA-PBE.

```
ThCd6Ag2
1.0
7.656 -4.341 0.000
7.656 4.341 0.000
-0.603 0.000 3.113
Th Cd Ag
1 6 2
direct
0.000 0.000 0.000
0.001 0.648 0.327
0.336 0.664 0.500
0.352 0.999 0.673
0.648 0.001 0.327
0.664 0.336 0.500
0.999 0.352 0.673
0.353 0.353 0.863
0.647 0.647 0.137
```

---

If we sort the structures by their calculated energies, the order from most to least stable is two, one.

---

one:
ThCd4Ag2: optimized geometry, GGA-PBE.

```
ThCd4Ag2
1.0
2.467 1.424 7.757
-2.467 1.424 7.757
0.000 -2.849 7.757
Th Cd Ag
1 4 2
direct
0.000 0.000 0.000
0.140 0.140 0.140
0.409 0.409 0.409
0.591 0.591 0.591
0.860 0.860 0.860
0.264 0.264 0.264
0.736 0.736 0.736
```

---

two:
ThCd4Ag2: optimized geometry, GGA-PBE.

```
ThCd4Ag2
1.0
8.630 0.000 0.000
0.000 8.630 0.000
0.000 0.000 4.311
Th Cd Ag
2 8 4
direct
0.000 0.000 0.000
0.500 0.500 0.500
0.091 0.339 0.500
0.161 0.591 0.000
0.339 0.091 0.500
0.409 0.839 0.000
0.591 0.161 0.000
0.661 0.909 0.500
0.839 0.409 0.000
0.909 0.661 0.500
0.195 0.805 0.500
0.305 0.305 0.000
0.695 0.695 0.000
0.805 0.195 0.500
```

---

If we sort the structures by their calculated energies, the order from most to least stable is one, two.

---

one:
ThCd2Ag2: optimized geometry, GGA-PBE.

```
ThCd2Ag2
1.0
4.948 0.000 0.000
0.000 3.366 0.000
-0.006 0.000 13.662
Th Cd Ag
2 4 4
direct
0.248 0.250 0.251
0.752 0.750 0.749
0.250 0.750 0.471
0.252 0.250 0.861
0.748 0.750 0.139
0.750 0.250 0.529
0.249 0.750 0.034
0.252 0.250 0.648
0.748 0.750 0.352
0.751 0.250 0.966
```

---

two:
ThCd2Ag2: optimized geometry, GGA-PBE.

```
ThCd2Ag2
1.0
2.970 -6.853 0.000
2.970 6.853 0.000
-1.953 0.000 2.796
Th Cd Ag
1 2 2
direct
0.000 0.000 0.000
0.220 0.780 0.500
0.780 0.220 0.500
0.397 0.603 0.000
0.603 0.397 0.000
```

---

If we sort the structures by their calculated energies, the order from most to least stable is two, one.

---

one:
Th2Cd3Ag: optimized geometry, GGA-PBE.

```
Th2Cd3Ag
1.0
3.359 0.000 0.000
0.000 5.071 0.000
0.000 0.000 8.793
Th Cd Ag
2 3 1
direct
0.000 0.000 0.000
0.000 0.500 0.486
0.500 0.000 0.658
0.500 0.500 0.161
0.500 0.500 0.825
0.500 0.000 0.327
```

---

two:
Th2Cd3Ag: optimized geometry, GGA-PBE.

```
Th2Cd3Ag
1.0
-1.697 2.560 9.004
1.697 -2.560 9.004
1.697 2.560 -9.004
Th Cd Ag
2 3 1
direct
0.000 0.000 0.000
0.762 0.262 0.500
0.169 0.669 0.500
0.329 0.829 0.500
0.598 0.598 0.000
0.445 0.445 0.000
```

---

If we sort the structures by their calculated energies, the order from most to least stable is one, two.

---

one:
TiCd2Ag2: optimized geometry, GGA-PBE.

```
TiCd2Ag2
1.0
7.972 0.000 0.000
0.000 7.972 0.000
0.000 0.000 3.122
Ti Cd Ag
2 4 4
direct
0.000 0.000 0.000
0.500 0.500 0.000
0.171 0.329 0.500
0.329 0.829 0.500
0.671 0.171 0.500
0.829 0.671 0.500
0.129 0.629 0.000
0.371 0.129 0.000
0.629 0.871 0.000
0.871 0.371 0.000
```

---

two:
TiCd2Ag2: optimized geometry, GGA-PBE.

```
TiCd2Ag2
1.0
7.997 0.000 0.000
0.000 7.997 0.000
0.000 0.000 3.115
Ti Cd Ag
2 4 4
direct
0.000 0.000 0.000
0.500 0.500 0.000
0.132 0.368 0.000
0.368 0.868 0.000
0.632 0.132 0.000
0.868 0.632 0.000
0.168 0.668 0.500
0.332 0.168 0.500
0.668 0.832 0.500
0.832 0.332 0.500
```

---

If we sort the structures by their calculated energies, the order from most to least stable is one, two.

---

one:
Ti2Cd2Ag: optimized geometry, GGA-PBE.

```
Ti2Cd2Ag
1.0
7.523 0.000 0.000
0.000 7.523 0.000
0.000 0.000 3.446
Ti Cd Ag
4 4 2
direct
0.161 0.339 0.000
0.339 0.839 0.000
0.661 0.161 0.000
0.839 0.661 0.000
0.137 0.637 0.500
0.363 0.137 0.500
0.637 0.863 0.500
0.863 0.363 0.500
0.000 0.000 0.500
0.500 0.500 0.500
```

---

two:
Ti2Cd2Ag: optimized geometry, GGA-PBE.

```
Ti2Cd2Ag
1.0
8.269 0.000 0.000
0.000 8.269 0.000
0.000 0.000 2.980
Ti Cd Ag
4 4 2
direct
0.108 0.392 0.000
0.392 0.892 0.000
0.608 0.108 0.000
0.892 0.608 0.000
0.185 0.685 0.500
0.315 0.185 0.500
0.685 0.815 0.500
0.815 0.315 0.500
0.000 0.000 0.000
0.500 0.500 0.000
```

---

three:
Ti2Cd2Ag: optimized geometry, GGA-PBE.

```
Ti2Cd2Ag
1.0
-1.482 1.482 10.665
1.482 -1.482 10.665
1.482 1.482 -10.665
Ti Cd Ag
2 2 1
direct
0.205 0.205 0.000
0.795 0.795 0.000
0.400 0.400 0.000
0.600 0.600 0.000
0.000 0.000 0.000
```

---

If we sort the structures by their calculated energies, the order from most to least stable is three, one, two.

---

one:
TiCdAg3: optimized geometry, GGA-PBE.

```
TiCdAg3
1.0
5.038 0.000 0.000
0.000 5.038 0.000
0.000 0.000 5.038
Ti Cd Ag
1 1 3
direct
0.000 0.000 0.000
0.500 0.500 0.500
0.000 0.500 0.500
0.500 0.000 0.500
0.500 0.500 0.000
```

---

two:
TiCdAg3: optimized geometry, GGA-PBE.

```
TiCdAg3
1.0
5.073 0.000 0.000
0.000 5.073 0.000
0.000 0.000 5.073
Ti Cd Ag
1 1 3
direct
0.000 0.000 0.000
0.500 0.500 0.500
0.000 0.000 0.500
0.000 0.500 0.000
0.500 0.000 0.000
```

---

If we sort the structures by their calculated energies, the order from most to least stable is two, one.

---

one:
TlCd2Ag2: optimized geometry, GGA-PBE.

```
TlCd2Ag2
1.0
-2.041 2.041 7.098
2.041 -2.041 7.098
2.041 2.041 -7.098
Tl Cd Ag
1 2 2
direct
0.000 0.000 0.000
0.396 0.396 0.000
0.604 0.604 0.000
0.250 0.750 0.500
0.750 0.250 0.500
```

---

two:
TlCd2Ag2: optimized geometry, GGA-PBE.

```
TlCd2Ag2
1.0
8.542 0.000 0.000
0.000 8.542 0.000
0.000 0.000 3.062
Tl Cd Ag
2 4 4
direct
0.000 0.000 0.000
0.500 0.500 0.000
0.127 0.373 0.000
0.373 0.873 0.000
0.627 0.127 0.000
0.873 0.627 0.000
0.170 0.670 0.500
0.330 0.170 0.500
0.670 0.830 0.500
0.830 0.330 0.500
```

---

three:
TlCd2Ag2: optimized geometry, GGA-PBE.

```
TlCd2Ag2
1.0
8.435 0.000 0.000
0.000 8.435 0.000
0.000 0.000 3.116
Tl Cd Ag
2 4 4
direct
0.000 0.000 0.000
0.500 0.500 0.000
0.174 0.326 0.500
0.326 0.826 0.500
0.674 0.174 0.500
0.826 0.674 0.500
0.122 0.622 0.000
0.378 0.122 0.000
0.622 0.878 0.000
0.878 0.378 0.000
```

---

If we sort the structures by their calculated energies, the order from most to least stable is three, two, one.

---

one:
TlCd2Ag: optimized geometry, GGA-PBE.

```
TlCd2Ag
1.0
3.188 0.000 0.000
0.000 4.050 0.000
0.000 0.000 7.241
Tl Cd Ag
1 2 1
direct
0.000 0.000 0.000
0.500 0.500 0.286
0.500 0.500 0.714
0.000 0.000 0.500
```

---

two:
TlCd2Ag: optimized geometry, GGA-PBE.

```
TlCd2Ag
1.0
3.184 -4.366 0.000
3.184 4.366 0.000
0.000 0.000 3.313
Tl Cd Ag
1 2 1
direct
0.000 0.000 0.000
0.000 0.500 0.500
0.500 0.000 0.500
0.500 0.500 0.000
```

---

three:
TlCd2Ag: optimized geometry, GGA-PBE.

```
TlCd2Ag
1.0
0.000 3.610 3.610
3.610 0.000 3.610
3.610 3.610 0.000
Tl Cd Ag
1 2 1
direct
0.000 0.000 0.000
0.250 0.250 0.250
0.750 0.750 0.750
0.500 0.500 0.500
```

---

If we sort the structures by their calculated energies, the order from most to least stable is one, two, three.

---

one:
Tl2CdAg: optimized geometry, GGA-PBE.

```
Tl2CdAg
1.0
0.000 3.708 3.708
3.708 0.000 3.708
3.708 3.708 0.000
Tl Cd Ag
2 1 1
direct
0.250 0.250 0.250
0.750 0.750 0.750
0.000 0.000 0.000
0.500 0.500 0.500
```

---

two:
Tl2CdAg: optimized geometry, GGA-PBE.

```
Tl2CdAg
1.0
2.193 -2.369 0.000
2.193 2.369 0.000
0.000 0.000 9.989
Tl Cd Ag
2 1 1
direct
0.000 0.000 0.228
0.000 0.000 0.772
0.500 0.500 0.500
0.500 0.500 0.000
```

---

three:
Tl2CdAg: optimized geometry, GGA-PBE.

```
Tl2CdAg
1.0
3.696 0.000 0.000
0.000 3.696 0.000
0.000 0.000 7.430
Tl Cd Ag
2 1 1
direct
0.000 0.000 0.234
0.000 0.000 0.766
0.500 0.500 0.500
0.500 0.500 0.000
```

---

If we sort the structures by their calculated energies, the order from most to least stable is three, one, two.